Below is CaPO2F after structural relaxation, with properties calculated at the PBEsol level.

```
data_CaPO2F
_chemical_formula_sum 'Ca1 P1 O2 F1'
_cell_length_a 4.450
_cell_length_b 4.450
_cell_length_c 3.367
_cell_angle_alpha 90.00
_cell_angle_beta 90.00
_cell_angle_gamma 90.00
_space_group_name_H-M_alt 'P 4/m m m'
_space_group_IT_number 123
_space_group_name_Hall '-P 4 2'
loop_
_atom_site_label
_atom_site_type_symbol
_atom_site_fract_x
_atom_site_fract_y
_atom_site_fract_z
_atom_site_occupancy
Ca1 Ca 0.000 0.000 0.000 1
P1 P 0.500 0.500 0.000 1
O1 O 0.000 0.500 0.500 1
F1 F 0.500 0.500 0.500 1
```

Calculated values
total energy	-4.50	eV/atom
crystal system	tetragonal
raw formation energy	-0.4337	eV per atom